DFT (GGA-PBE) results for a relaxed Cs2NdUSe6 crystal.

Properties
E_tot (eV/cell): -51.2
D(E_F) (states/eV per atom): 0.667

Unit cell a=7.9293 b=7.9293 c=7.9293 alpha=60.00 beta=60.00 gamma=60.00
Fractional coordinates of all 10 atoms:
Cs1 0.2500 0.2500 0.2500
Cs2 0.7500 0.7500 0.7500
Nd1 0.0000 0.0000 0.0000
U1 0.5000 0.5000 0.5000
Se1 0.2608 0.2608 0.7392
Se2 0.2608 0.7392 0.2608
Se3 0.2608 0.7392 0.7392
Se4 0.7392 0.2608 0.2608
Se5 0.7392 0.2608 0.7392
Se6 0.7392 0.7392 0.2608